--- one ---
Pm8Tl2Rh: relaxed, GGA-PBE.

POSCAR file:
```
Pm8Tl2Rh
1.0
-2.785 -3.065 3.037
-2.529 -3.290 -5.640
9.106 -3.763 0.213
Pm Tl Rh
8 2 1
Direct
0.410 0.535 0.821
0.645 0.988 0.290
0.793 0.685 0.586
0.984 0.225 0.968
0.207 0.315 0.414
0.355 0.012 0.710
0.590 0.465 0.179
0.016 0.775 0.032
0.813 0.241 0.626
0.187 0.759 0.374
0.500 0.000 0.000
```

--- two ---
Pm8Tl2Rh: relaxed, GGA-PBE.

POSCAR file:
```
Pm8Tl2Rh
1.0
5.393 -0.863 -1.511
-2.918 7.817 -4.238
-0.557 -1.098 9.278
Pm Tl Rh
8 2 1
Direct
0.717 0.391 0.141
0.717 0.141 0.391
0.198 0.248 0.248
0.954 0.198 0.808
0.954 0.808 0.198
0.712 0.759 0.759
0.192 0.865 0.615
0.192 0.615 0.865
0.454 0.689 0.317
0.454 0.317 0.689
0.456 0.003 0.003
```

Stability, highest: one

--- one ---
Pm2Tm2Rh3: relaxed, GGA-PBE.

POSCAR file:
```
Pm2Tm2Rh3
1.0
-3.679 -2.065 -0.852
-0.072 -5.429 2.597
-4.812 2.118 4.772
Pm Tm Rh
2 2 3
Direct
0.298 0.782 0.621
0.702 0.218 0.379
0.393 0.288 0.927
0.607 0.712 0.073
0.000 0.000 0.000
0.021 0.636 0.322
0.979 0.364 0.678
```

--- two ---
Pm2Tm2Rh3: relaxed, GGA-PBE.

POSCAR file:
```
Pm2Tm2Rh3
1.0
-3.129 -2.864 1.045
4.104 0.403 4.274
-4.444 5.605 2.083
Pm Tm Rh
2 2 3
Direct
0.868 0.735 0.645
0.132 0.265 0.355
0.639 0.277 0.931
0.361 0.723 0.069
0.000 0.000 0.000
0.807 0.615 0.264
0.193 0.385 0.736
```

Stability, highest: one

--- one ---
PmTmZnRh: relaxed, GGA-PBE.

POSCAR file:
```
PmTmZnRh
1.0
4.971 0.000 0.000
2.486 4.305 0.000
2.486 1.435 4.059
Zn Tm Rh Pm
1 1 1 1
Direct
0.000 0.000 0.000
0.250 0.250 0.250
0.500 0.500 0.500
0.750 0.750 0.750
```

--- two ---
PmTmZnRh: relaxed, GGA-PBE.

POSCAR file:
```
PmTmZnRh
1.0
-0.441 3.141 -1.524
-2.820 -1.225 -1.710
-4.140 2.027 5.375
Pm Tm Zn Rh
1 1 1 1
Direct
0.000 0.000 0.873
0.000 0.000 0.341
0.500 0.500 0.588
0.500 0.500 0.125
```

Stability, highest: two

--- one ---
Pm2YRh: relaxed, GGA-PBE.

POSCAR file:
```
Pm2YRh
1.0
3.595 0.000 0.000
0.000 3.595 0.000
0.000 0.000 8.751
Y Rh Pm
1 1 2
Direct
0.500 0.500 0.500
0.500 0.500 0.000
0.000 0.000 0.810
0.000 0.000 0.190
```

--- two ---
Pm2YRh: relaxed, GGA-PBE.

POSCAR file:
```
Pm2YRh
1.0
3.897 0.000 0.000
1.948 3.375 0.000
1.948 1.125 9.324
Pm Y Rh
2 1 1
Direct
0.060 0.060 0.819
0.273 0.273 0.182
0.501 0.501 0.498
0.666 0.666 0.002
```

--- three ---
Pm2YRh: relaxed, GGA-PBE.

POSCAR file:
```
Pm2YRh
1.0
3.708 0.000 0.000
1.854 3.211 0.000
1.854 1.070 10.655
Y Rh Pm
1 1 2
Direct
0.000 0.000 0.000
0.500 0.500 0.500
0.110 0.110 0.670
0.890 0.890 0.330
```

Stability, highest: one

--- one ---
Pm2YRh: relaxed, GGA-PBE.

POSCAR file:
```
Pm2YRh
1.0
6.333 0.000 0.000
0.000 7.271 0.000
0.000 0.000 9.886
Pm Y Rh
8 4 4
Direct
0.169 0.678 0.065
0.331 0.178 0.435
0.831 0.322 0.565
0.669 0.822 0.935
0.831 0.322 0.935
0.669 0.822 0.565
0.169 0.678 0.435
0.331 0.178 0.065
0.646 0.536 0.250
0.854 0.036 0.250
0.354 0.464 0.750
0.146 0.964 0.750
0.061 0.379 0.250
0.439 0.879 0.250
0.939 0.621 0.750
0.561 0.121 0.750
```

--- two ---
Pm2YRh: relaxed, GGA-PBE.

POSCAR file:
```
Pm2YRh
1.0
-5.043 3.468 -1.920
-4.033 -5.256 1.099
-1.683 3.557 10.842
Pm Y Rh
8 4 4
Direct
0.754 0.911 0.913
0.246 0.089 0.087
0.254 0.589 0.587
0.746 0.411 0.413
0.754 0.411 0.087
0.246 0.589 0.913
0.254 0.089 0.413
0.746 0.911 0.587
0.250 0.569 0.250
0.750 0.431 0.750
0.750 0.931 0.250
0.250 0.069 0.750
0.000 0.250 0.588
0.000 0.750 0.412
0.500 0.250 0.912
0.500 0.750 0.088
```

Stability, highest: one

--- one ---
PmY3Rh: relaxed, GGA-PBE.

POSCAR file:
```
PmY3Rh
1.0
-4.181 2.592 5.495
3.171 -6.297 2.165
5.359 4.626 -1.849
Pm Y Rh
2 6 2
Direct
0.714 0.051 0.765
0.286 0.949 0.235
0.842 0.053 0.294
0.241 0.452 0.294
0.759 0.548 0.706
0.707 0.447 0.154
0.158 0.947 0.706
0.293 0.553 0.846
0.636 0.747 0.383
0.364 0.253 0.617
```

--- two ---
PmY3Rh: relaxed, GGA-PBE.

POSCAR file:
```
PmY3Rh
1.0
-3.602 2.549 3.179
-3.896 -3.399 -1.688
1.196 -3.395 4.077
Y Rh Pm
3 1 1
Direct
0.000 0.500 0.000
0.000 0.000 0.500
0.500 0.000 0.000
0.000 0.000 0.000
0.500 0.500 0.500
```

Stability, highest: one

--- one ---
PmY2Rh: relaxed, GGA-PBE.

POSCAR file:
```
PmY2Rh
1.0
-1.664 1.509 3.164
1.074 -1.217 3.525
6.251 6.611 2.513
Pm Y Rh
1 2 1
Direct
0.501 0.501 0.496
0.058 0.058 0.826
0.274 0.274 0.177
0.666 0.666 0.002
```

--- two ---
PmY2Rh: relaxed, GGA-PBE.

POSCAR file:
```
PmY2Rh
1.0
3.510 0.000 0.000
0.000 3.510 0.000
0.000 0.000 8.775
Y Rh Pm
2 1 1
Direct
0.000 0.000 0.813
0.000 0.000 0.187
0.500 0.500 0.000
0.500 0.500 0.500
```

Stability, highest: two

--- one ---
Pm2YRh2: relaxed, GGA-PBE.

POSCAR file:
```
Pm2YRh2
1.0
4.366 0.000 0.000
0.000 5.680 0.847
0.000 0.222 10.579
Pm Y Rh
4 2 4
Direct
0.250 0.892 0.883
0.750 0.108 0.117
0.250 0.232 0.537
0.750 0.768 0.463
0.250 0.544 0.208
0.750 0.456 0.792
0.250 0.683 0.641
0.750 0.317 0.359
0.250 0.345 0.965
0.750 0.655 0.035
```

--- two ---
Pm2YRh2: relaxed, GGA-PBE.

POSCAR file:
```
Pm2YRh2
1.0
3.807 0.000 0.752
1.957 6.499 0.104
-0.026 -0.457 10.144
Pm Y Rh
4 2 4
Direct
0.586 0.755 0.074
0.852 0.604 0.692
0.414 0.245 0.926
0.148 0.396 0.308
0.843 0.952 0.361
0.157 0.048 0.639
0.133 0.854 0.879
0.435 0.688 0.442
0.867 0.146 0.121
0.565 0.312 0.558
```

Stability, highest: one

--- one ---
PmYZnRh: relaxed, GGA-PBE.

POSCAR file:
```
PmYZnRh
1.0
5.013 0.000 0.000
2.506 4.341 0.000
2.506 1.447 4.093
Y Zn Rh Pm
1 1 1 1
Direct
0.750 0.750 0.750
0.000 0.000 0.000
0.500 0.500 0.500
0.250 0.250 0.250
```

--- two ---
PmYZnRh: relaxed, GGA-PBE.

POSCAR file:
```
PmYZnRh
1.0
3.922 0.000 0.000
0.000 4.435 0.000
-1.961 0.000 5.357
Pm Y Zn Rh
1 1 1 1
Direct
0.142 0.000 0.283
0.862 0.500 0.723
0.570 0.500 0.141
0.426 0.000 0.853
```

Stability, highest: two

--- one ---
PmZn3Rh: relaxed, GGA-PBE.

POSCAR file:
```
PmZn3Rh
1.0
4.895 0.000 -1.845
0.000 5.673 0.000
-0.060 0.000 6.659
Pm Zn Rh
2 6 2
Direct
0.722 0.948 0.942
0.312 0.448 0.618
0.796 0.448 0.153
0.239 0.948 0.408
0.744 0.181 0.460
0.744 0.715 0.460
0.290 0.681 0.101
0.290 0.215 0.101
0.895 0.448 0.804
0.140 0.948 0.756
```

--- two ---
PmZn3Rh: relaxed, GGA-PBE.

POSCAR file:
```
PmZn3Rh
1.0
-2.001 -3.203 2.276
2.044 -3.175 -2.672
2.850 1.417 4.500
Pm Zn Rh
1 3 1
Direct
0.500 0.045 0.090
0.000 0.534 0.068
0.000 0.258 0.517
0.500 0.743 0.485
0.500 0.380 0.760
```

Stability, highest: one

--- one ---
Pm2ZnRh: relaxed, GGA-PBE.

POSCAR file:
```
Pm2ZnRh
1.0
4.503 0.000 0.000
0.000 5.461 -2.055
0.000 -0.099 7.851
Pm Zn Rh
4 2 2
Direct
0.750 0.213 0.435
0.250 0.787 0.565
0.250 0.769 0.078
0.750 0.231 0.922
0.250 0.346 0.213
0.750 0.654 0.787
0.750 0.641 0.286
0.250 0.359 0.714
```

--- two ---
Pm2ZnRh: relaxed, GGA-PBE.

POSCAR file:
```
Pm2ZnRh
1.0
4.781 0.001 -0.005
0.001 4.947 -1.406
-2.390 -3.844 5.361
Pm Zn Rh
2 1 1
Direct
0.166 0.119 0.333
0.834 0.899 0.667
0.500 0.509 0.000
0.500 0.009 0.000
```

--- three ---
Pm2ZnRh: relaxed, GGA-PBE.

POSCAR file:
```
Pm2ZnRh
1.0
3.607 0.000 0.000
0.000 3.607 0.000
0.000 0.000 7.099
Zn Rh Pm
1 1 2
Direct
0.500 0.500 0.500
0.500 0.500 0.000
0.000 0.000 0.763
0.000 0.000 0.237
```

--- four ---
Pm2ZnRh: relaxed, GGA-PBE.

POSCAR file:
```
Pm2ZnRh
1.0
-2.087 3.932 2.428
-4.624 1.621 -1.306
-3.924 -0.743 3.125
Zn Rh Pm
1 1 2
Direct
0.000 0.000 0.000
0.500 0.500 0.500
0.250 0.250 0.250
0.750 0.750 0.750
```

Stability, highest: one